AlIn2Ru (PBE, optimized geometry); size of the total moment = 0.00 μB per formula unit; DOS at the Fermi energy = 2.27 states/eV per cell; energy = -4.63 eV/atom; energy of formation = -8 meV/atom
1.0
-1.492 2.274 6.139
1.492 -2.274 6.139
1.492 2.274 -6.139
Al In Ru
1 2 1
Direct
0.000 0.000 0.000
0.326 0.826 0.500
0.633 0.633 0.000
0.834 0.334 0.500


AlInRu2 (PBE, optimized geometry); size of the total moment = 0.00 μB per formula unit; DOS at the Fermi energy = 5.48 states/eV per cell; energy = -6.19 eV/atom; energy of formation = 71 meV/atom
1.0
2.935 0.000 0.000
0.000 4.376 0.000
-1.455 0.000 4.984
Al In Ru
1 1 2
Direct
0.000 0.000 0.000
0.627 0.500 0.254
0.274 0.000 0.546
0.889 0.500 0.775


AlInRu2 (PBE, optimized geometry); size of the total moment = 0.00 μB per formula unit; DOS at the Fermi energy = 5.27 states/eV per cell; energy = -6.51 eV/atom; energy of formation = -249 meV/atom
1.0
3.100 0.000 0.000
0.000 3.100 0.000
0.000 0.000 6.351
Al In Ru
1 1 2
Direct
0.000 0.000 0.000
0.000 0.000 0.500
0.500 0.500 0.227
0.500 0.500 0.773


Question: Look up the energy of formation of the first one.
Answer: -8 meV/atom